Record 1
First-principles (GGA-PBE) data for a relaxed structure of Cs4Nd3TmO8, as listed in Alexandria.

Results
For the calculated volume, the calculation gives 321.1 Å³ per cell. The value obtained for the formation energy (no corrections) is -2535 meV/atom. The energy is -6.4008 eV per atom. For the density, the calculation gives 6522 kg/m³.

a b c (Å): 7.314 8.116 7.313
angles (deg): 116.76 120.00 90.00
Positions (direct):
Cs  0.500  0.000  0.000
Cs  0.500  0.000  0.500
Cs  0.000  0.000  0.000
Cs  0.000  0.000  0.500
Nd  0.500  0.500  0.000
Nd  0.500  0.500  0.500
Nd  0.000  0.500  0.500
Tm  0.000  0.500  0.000
O  0.216  0.667  0.951
O  0.216  0.667  0.432
O  0.277  0.331  0.554
O  0.735  0.667  0.951
O  0.265  0.333  0.049
O  0.723  0.669  0.446
O  0.784  0.333  0.568
O  0.784  0.333  0.049

=====

Record 2
First-principles (GGA-PBE) data for a relaxed structure of LaAlFe3, as listed in Alexandria.

Results
For the calculated volume, the calculation gives 100.3 Å³ per cell. The energy is -5.1847 eV per atom. The calculation puts the formation energy from the elements at 1.627 eV/atom. Its offset from the most stable computed form is 103.11 kJ/mol of atoms. For the density, the calculation gives 5518 kg/m³.

a b c (Å): 4.647 4.647 4.647
angles (deg): 90.00 90.00 90.00
Site moments in Bohr magnetons follow the coordinates.
Positions (direct):
Al  0.500  0.500  0.500  0.01
Fe  0.000  0.500  0.000  2.05
Fe  0.000  0.000  0.500  2.03
Fe  0.500  0.000  0.000  2.05
La  0.000  0.000  0.000  -0.31

=====

The highest calculated volume belongs to which entry? Cs4Nd3TmO8

=====

Which of these has the highest calculated volume? Cs4Nd3TmO8

=====

Please write out number 1 again, unchanged.
First-principles (GGA-PBE) data for a relaxed structure of Cs4Nd3TmO8, as listed in Alexandria.

Results
For the calculated volume, the calculation gives 321.1 Å³ per cell. The value obtained for the formation energy (no corrections) is -2535 meV/atom. The energy is -6.4008 eV per atom. For the density, the calculation gives 6522 kg/m³.

a b c (Å): 7.314 8.116 7.313
angles (deg): 116.76 120.00 90.00
Positions (direct):
Cs  0.500  0.000  0.000
Cs  0.500  0.000  0.500
Cs  0.000  0.000  0.000
Cs  0.000  0.000  0.500
Nd  0.500  0.500  0.000
Nd  0.500  0.500  0.500
Nd  0.000  0.500  0.500
Tm  0.000  0.500  0.000
O  0.216  0.667  0.951
O  0.216  0.667  0.432
O  0.277  0.331  0.554
O  0.735  0.667  0.951
O  0.265  0.333  0.049
O  0.723  0.669  0.446
O  0.784  0.333  0.568
O  0.784  0.333  0.049

=====

Copy entry 2 word for word.
First-principles (GGA-PBE) data for a relaxed structure of LaAlFe3, as listed in Alexandria.

Results
For the calculated volume, the calculation gives 100.3 Å³ per cell. The energy is -5.1847 eV per atom. The calculation puts the formation energy from the elements at 1.627 eV/atom. Its offset from the most stable computed form is 103.11 kJ/mol of atoms. For the density, the calculation gives 5518 kg/m³.

a b c (Å): 4.647 4.647 4.647
angles (deg): 90.00 90.00 90.00
Site moments in Bohr magnetons follow the coordinates.
Positions (direct):
Al  0.500  0.500  0.500  0.01
Fe  0.000  0.500  0.000  2.05
Fe  0.000  0.000  0.500  2.03
Fe  0.500  0.000  0.000  2.05
La  0.000  0.000  0.000  -0.31